No. 1
The following is a DFT calculation (GGA-PBE) of an optimized crystal structure of CuBiPb.

Cell and atoms, written as extended XYZ:
```
3
Lattice="3.417 0.000 0.000 0.000 3.417 0.000 -1.709 -1.709 6.429" Properties=species:S:1:pos:R:3 pbc="T T T"
Pb 0.000 0.000 0.374
Bi 0.000 0.000 3.889
Cu 1.709 1.709 2.166
```

Calculated values
The calculation puts the distance to the lowest polymorph of the same formula at 0.054 eV/atom. The calculation puts the calculated formation energy at 160 meV per atom.

***

No. 2
The following is a DFT calculation (GGA-PBE) of an optimized crystal structure of CuBiPb.

Cell and atoms, written as extended XYZ:
```
6
Lattice="-3.644 3.124 -0.499 -1.724 -1.363 4.060 6.510 7.272 -2.017" Properties=species:S:1:pos:R:3 pbc="T T T"
Cu 0.766 0.901 0.050
Cu 5.791 6.679 -0.479
Pb 4.007 4.801 0.790
Pb -0.032 3.809 0.742
Bi 3.212 7.259 -1.352
Bi 0.730 1.298 2.797
```

Calculated values
The calculation puts the distance to the lowest polymorph of the same formula at 0.103 eV/atom. The calculation puts the calculated formation energy at 209 meV per atom.